1.
The following is a DFT calculation (PBE) of a geometry-optimized Nd6SmY structure.

Summary:
formation energy = 0.014 eV/atom
theoretical density = 6.6 g/cm3
crystal system = orthorhombic
Fermi-level density of states = 51.030 states/eV per cell

The structure in CIF format:
```
data_Nd6SmY
_symmetry_space_group_name_H-M 'F m m m'
_symmetry_Int_Tables_number 69
_symmetry_space_group_name_Hall '-F 2 2'
_cell_length_a 7.351
_cell_length_b 10.332
_cell_length_c 14.654
_cell_angle_alpha 90.00
_cell_angle_beta 90.00
_cell_angle_gamma 90.00
loop_
_atom_site_label
_atom_site_type_symbol
_atom_site_fract_x
_atom_site_fract_y
_atom_site_fract_z
Nd1 Nd 0.000 0.000 0.250
Nd2 Nd 0.250 0.250 0.124
Sm1 Sm 0.000 0.000 0.000
Y1 Y 0.000 0.000 0.500
```



2.
The following is a DFT calculation (PBE) of a geometry-optimized NdSm8Y2 structure.

Summary:
formation energy = 0.151 eV/atom
theoretical density = 6.6 g/cm3
crystal system = monoclinic
energy above the most stable polymorph in this dataset = 1.49 eV per formula unit
Fermi-level density of states = 35.220 states/eV per cell

The structure in CIF format:
```
data_NdSm8Y2
_symmetry_space_group_name_H-M 'C 1 2/m 1'
_symmetry_Int_Tables_number 12
_symmetry_space_group_name_Hall '-C 2y'
_cell_length_a 19.412
_cell_length_b 7.045
_cell_length_c 5.663
_cell_angle_alpha 90.00
_cell_angle_beta 93.36
_cell_angle_gamma 90.00
loop_
_atom_site_label
_atom_site_type_symbol
_atom_site_fract_x
_atom_site_fract_y
_atom_site_fract_z
Nd1 Nd 0.000 0.000 0.000
Sm1 Sm 0.045 0.500 0.237
Sm2 Sm 0.132 0.267 0.731
Sm3 Sm 0.187 0.000 0.230
Y1 Y 0.216 0.500 0.254
```



3.
The following is a DFT calculation (PBE) of a geometry-optimized Nd7Sm3Y structure.

Summary:
formation energy = 0.115 eV/atom
theoretical density = 6.6 g/cm3
crystal system = triclinic
energy above the most stable polymorph in this dataset = 0.00 eV per formula unit
Fermi-level density of states = 17.456 states/eV per cell

The structure in CIF format:
```
data_Nd7Sm3Y
_symmetry_space_group_name_H-M 'P -1'
_symmetry_Int_Tables_number 2
_symmetry_space_group_name_Hall '-P 1'
_cell_length_a 6.654
_cell_length_b 6.845
_cell_length_c 8.846
_cell_angle_alpha 99.71
_cell_angle_beta 99.10
_cell_angle_gamma 96.03
loop_
_atom_site_label
_atom_site_type_symbol
_atom_site_fract_x
_atom_site_fract_y
_atom_site_fract_z
Nd1 Nd 0.000 0.000 0.000
Nd2 Nd 0.060 0.211 0.643
Nd3 Nd 0.310 0.438 0.336
Nd4 Nd 0.486 0.236 0.918
Sm1 Sm 0.220 0.725 0.712
Sm2 Sm 0.500 0.000 0.500
Y1 Y 0.000 0.500 0.000
```



4.
The following is a DFT calculation (PBE) of a geometry-optimized NdSmY structure.

Summary:
formation energy = 0.049 eV/atom
theoretical density = 6.3 g/cm3
crystal system = orthorhombic
energy above the most stable polymorph in this dataset = 0.10 eV per formula unit
Fermi-level density of states = 19.635 states/eV per cell

The structure in CIF format:
```
data_NdSmY
_symmetry_space_group_name_H-M 'C m c m'
_symmetry_Int_Tables_number 63
_symmetry_space_group_name_Hall '-C 2c 2'
_cell_length_a 3.550
_cell_length_b 20.710
_cell_length_c 5.526
_cell_angle_alpha 90.00
_cell_angle_beta 90.00
_cell_angle_gamma 90.00
loop_
_atom_site_label
_atom_site_type_symbol
_atom_site_fract_x
_atom_site_fract_y
_atom_site_fract_z
Nd1 Nd 0.000 0.117 0.250
Sm1 Sm 0.000 0.292 0.250
Y1 Y 0.000 0.458 0.250
```



5.
The following is a DFT calculation (PBE) of a geometry-optimized Nd2SmY structure.

Summary:
formation energy = 0.016 eV/atom
theoretical density = 6.4 g/cm3
crystal system = tetragonal
energy above the most stable polymorph in this dataset = 0.02 eV per formula unit
Fermi-level density of states = 5.784 states/eV per cell

The structure in CIF format:
```
data_Nd2SmY
_symmetry_space_group_name_H-M 'P 4/m m m'
_symmetry_Int_Tables_number 123
_symmetry_space_group_name_Hall '-P 4 2'
_cell_length_a 3.642
_cell_length_b 3.642
_cell_length_c 10.304
_cell_angle_alpha 90.00
_cell_angle_beta 90.00
_cell_angle_gamma 90.00
loop_
_atom_site_label
_atom_site_type_symbol
_atom_site_fract_x
_atom_site_fract_y
_atom_site_fract_z
Nd1 Nd 0.000 0.000 0.249
Sm1 Sm 0.500 0.500 0.500
Y1 Y 0.500 0.500 0.000
```



6.
The following is a DFT calculation (PBE) of a geometry-optimized Nd5Sm2Y5 structure.

Summary:
formation energy = 0.107 eV/atom
theoretical density = 6.0 g/cm3
crystal system = monoclinic
energy above the most stable polymorph in this dataset = 1.10 eV per formula unit
Fermi-level density of states = 43.255 states/eV per cell

The structure in CIF format:
```
data_Nd5Sm2Y5
_symmetry_space_group_name_H-M 'C 1 2/m 1'
_symmetry_Int_Tables_number 12
_symmetry_space_group_name_Hall '-C 2y'
_cell_length_a 16.689
_cell_length_b 5.858
_cell_length_c 9.722
_cell_angle_alpha 90.00
_cell_angle_beta 121.42
_cell_angle_gamma 90.00
loop_
_atom_site_label
_atom_site_type_symbol
_atom_site_fract_x
_atom_site_fract_y
_atom_site_fract_z
Nd1 Nd 0.000 0.000 0.000
Nd2 Nd 0.083 0.000 0.374
Nd3 Nd 0.243 0.000 0.214
Sm1 Sm 0.148 0.000 0.777
Y1 Y 0.000 0.500 0.500
Y2 Y 0.093 0.500 0.929
Y3 Y 0.176 0.500 0.352
```



7.
The following is a DFT calculation (PBE) of a geometry-optimized NdSm2Y9 structure.

Summary:
formation energy = 0.023 eV/atom
theoretical density = 5.3 g/cm3
crystal system = tetragonal
Fermi-level density of states = 18.178 states/eV per cell

The structure in CIF format:
```
data_NdSm2Y9
_symmetry_space_group_name_H-M 'P 4/m m m'
_symmetry_Int_Tables_number 123
_symmetry_space_group_name_Hall '-P 4 2'
_cell_length_a 5.077
_cell_length_b 5.077
_cell_length_c 15.225
_cell_angle_alpha 90.00
_cell_angle_beta 90.00
_cell_angle_gamma 90.00
loop_
_atom_site_label
_atom_site_type_symbol
_atom_site_fract_x
_atom_site_fract_y
_atom_site_fract_z
Nd1 Nd 0.000 0.000 0.000
Sm1 Sm 0.000 0.000 0.334
Y1 Y 0.000 0.500 0.167
Y2 Y 0.000 0.500 0.500
Y3 Y 0.500 0.500 0.000
Y4 Y 0.500 0.500 0.334
```



8.
The following is a DFT calculation (PBE) of a geometry-optimized Nd3Sm3Y structure.

Summary:
formation energy = 0.023 eV/atom
theoretical density = 6.7 g/cm3
crystal system = hexagonal
energy above the most stable polymorph in this dataset = 0.00 eV per formula unit
Fermi-level density of states = 24.983 states/eV per cell

The structure in CIF format:
```
data_Nd3Sm3Y
_symmetry_space_group_name_H-M 'P 63/m'
_symmetry_Int_Tables_number 176
_symmetry_space_group_name_Hall '-P 6c'
_cell_length_a 9.7712
_cell_length_b 9.7712
_cell_length_c 5.8542
_cell_angle_alpha 90.00
_cell_angle_beta 90.00
_cell_angle_gamma 120.00
loop_
_atom_site_label
_atom_site_type_symbol
_atom_site_fract_x
_atom_site_fract_y
_atom_site_fract_z
Nd1 Nd 0.0946 0.6201 0.2500
Sm1 Sm 0.0448 0.8074 0.7500
Y1 Y 0.3333 0.6667 0.7500
```



9.
The following is a DFT calculation (PBE) of a geometry-optimized Nd2Sm7Y4 structure.

Summary:
formation energy = 0.049 eV/atom
theoretical density = 6.4 g/cm3
crystal system = triclinic
Fermi-level density of states = 20.232 states/eV per cell

The structure in CIF format:
```
data_Nd2Sm7Y4
_symmetry_space_group_name_H-M 'P 1'
_symmetry_Int_Tables_number 1
_symmetry_space_group_name_Hall 'P 1'
_cell_length_a 6.202
_cell_length_b 6.807
_cell_length_c 12.120
_cell_angle_alpha 86.62
_cell_angle_beta 75.30
_cell_angle_gamma 63.19
loop_
_atom_site_label
_atom_site_type_symbol
_atom_site_fract_x
_atom_site_fract_y
_atom_site_fract_z
Nd1 Nd 0.000 0.000 0.000
Nd2 Nd 0.262 0.423 0.083
Sm1 Sm 0.036 0.818 0.319
Sm2 Sm 0.112 0.283 0.390
Sm3 Sm 0.428 0.591 0.770
Sm4 Sm 0.507 0.058 0.835
Sm5 Sm 0.562 0.869 0.169
Sm6 Sm 0.654 0.347 0.253
Sm7 Sm 0.872 0.537 0.911
Y1 Y 0.040 0.126 0.694
Y2 Y 0.498 0.749 0.469
Y3 Y 0.580 0.206 0.544
Y4 Y 0.965 0.663 0.617
```



10.
The following is a DFT calculation (PBE) of a geometry-optimized NdSm6Y3 structure.

Summary:
formation energy = 0.139 eV/atom
theoretical density = 6.5 g/cm3
crystal system = orthorhombic
energy above the most stable polymorph in this dataset = 0.14 eV per formula unit
Fermi-level density of states = 58.335 states/eV per cell

The structure in CIF format:
```
data_NdSm6Y3
_symmetry_space_group_name_H-M 'C m c 21'
_symmetry_Int_Tables_number 36
_symmetry_space_group_name_Hall 'C 2c -2'
_cell_length_a 11.189
_cell_length_b 19.399
_cell_length_c 6.227
_cell_angle_alpha 90.00
_cell_angle_beta 90.00
_cell_angle_gamma 90.00
loop_
_atom_site_label
_atom_site_type_symbol
_atom_site_fract_x
_atom_site_fract_y
_atom_site_fract_z
Nd1 Nd 0.000 0.201 0.000
Sm1 Sm 0.000 0.043 0.201
Sm2 Sm 0.000 0.280 0.483
Sm3 Sm 0.166 0.456 0.582
Sm4 Sm 0.241 0.290 0.746
Y1 Y 0.000 0.387 0.045
Y2 Y 0.170 0.112 0.654
```



Which of these has the highest formation energy? NdSm8Y2